The following is a PBE-GGA calculation of crystalline EuLuInHg at its relaxed geometry, from Alexandria via LeMat-Bulk.

## Properties
theoretical density	9.7	g/cm3
energy of formation	-1.8	eV per formula unit

abc: 5.3692 5.3692 5.3692
angles: 60.00 60.00 60.00
Fractional positions:
Eu 0.5000 0.5000 0.5000
Hg 0.7500 0.7500 0.7500
Lu 0.0000 0.0000 0.0000
In 0.2500 0.2500 0.2500

The following is a PBE-GGA calculation of crystalline PmSmDy2Th at its relaxed geometry, from Alexandria via LeMat-Bulk.

## Properties
theoretical density	8.5	g/cm3
energy of formation	0.3	eV per formula unit

abc: 5.7803 6.3019 9.6210
angles: 71.06 90.00 90.00
Fractional positions:
Dy 0.2500 0.1290 0.4054
Dy 0.7500 0.6635 0.9960
Dy 0.7500 0.8710 0.5946
Dy 0.2500 0.3365 0.0040
Th 0.7500 0.0784 0.2034
Th 0.2500 0.9216 0.7966
Sm 0.2500 0.5319 0.6052
Sm 0.7500 0.4681 0.3948
Pm 0.2500 0.7492 0.1926
Pm 0.7500 0.2508 0.8074

The following is a PBE-GGA calculation of crystalline Ni2Pt2Rh at its relaxed geometry, from Alexandria via LeMat-Bulk.

## Properties
theoretical density	14.1	g/cm3
polymorph energy (0 for the lowest one)	48	meV per atom
energy of formation	0.8	eV per formula unit

abc: 7.2743 7.2743 2.7108
angles: 90.00 90.00 90.00
Fractional positions:
Pt 0.6345 0.1345 0.0000
Pt 0.1345 0.3655 0.0000
Pt 0.8655 0.6345 0.0000
Pt 0.3655 0.8655 0.0000
Rh 0.5000 0.5000 0.0000
Rh 0.0000 0.0000 0.0000
Ni 0.1642 0.6642 0.5000
Ni 0.8358 0.3358 0.5000
Ni 0.6642 0.8358 0.5000
Ni 0.3358 0.1642 0.5000

The following is a PBE-GGA calculation of crystalline NdDy10Th4 at its relaxed geometry, from Alexandria via LeMat-Bulk.

## Properties
theoretical density	8.9	g/cm3
energy of formation	5.6	eV per formula unit

abc: 10.7985 8.7045 8.7045
angles: 67.37 51.66 51.66
Fractional positions:
Dy 0.4599 0.6711 0.0959
Dy 0.2269 0.3289 0.9041
Dy 0.1310 0.0959 0.3289
Dy 0.5401 0.3289 0.9041
Dy 0.2500 0.5000 0.5000
Dy 0.7500 0.5000 0.5000
Dy 0.8690 0.9041 0.6711
Dy 0.7731 0.6711 0.0959
Dy 0.4442 0.0959 0.3289
Dy 0.5558 0.9041 0.6711
Nd 0.0000 0.0000 0.0000
Th 0.6617 0.2738 0.4029
Th 0.0646 0.5971 0.2738
Th 0.9354 0.4029 0.7262
Th 0.3383 0.7262 0.5971

The following is a PBE-GGA calculation of crystalline TbP4 at its relaxed geometry, from Alexandria via LeMat-Bulk.

## Properties
theoretical density	3.3	g/cm3
energy of formation	6.3	eV per formula unit

abc: 5.2443 5.2443 5.2443
angles: 90.00 90.00 90.00
Fractional positions:
P 0.0000 0.0000 0.0000
P 0.5000 0.0000 0.5000
P 0.0000 0.5000 0.5000
P 0.5000 0.5000 0.0000
Tb 0.5000 0.5000 0.5000

The following is a PBE-GGA calculation of crystalline Li3PuI6 at its relaxed geometry, from Alexandria via LeMat-Bulk.

## Properties
formation energy (no corrections)	-1.01	eV per atom
theoretical density	4.7	g/cm3
polymorph energy (0 for the lowest one)	55	meV per atom

abc: 4.8016 9.0579 9.0579
angles: 112.40 90.00 90.00
Fractional positions:
I 0.0000 0.6698 0.9187
I 0.0000 0.9187 0.6698
I 0.0000 0.0813 0.3302
I 0.5000 0.3591 0.6409
I 0.0000 0.3302 0.0813
I 0.5000 0.6409 0.3591
Li 0.5000 0.0000 0.5000
Li 0.0000 0.0000 0.0000
Li 0.5000 0.5000 0.0000
Pu 0.0000 0.5000 0.5000

The following is a PBE-GGA calculation of crystalline LiNi4Hg at its relaxed geometry, from Alexandria via LeMat-Bulk.

## Properties
theoretical density	9.3	g/cm3
energy of formation	0.1	eV per formula unit

abc: 4.8120 4.8120 4.8120
angles: 60.00 60.00 60.00
Fractional positions:
Ni 0.3746 0.3746 0.8762
Ni 0.3746 0.3746 0.3746
Ni 0.8762 0.3746 0.3746
Ni 0.3746 0.8762 0.3746
Hg 0.7500 0.7500 0.7500
Li 0.0000 0.0000 0.0000

The following is a PBE-GGA calculation of crystalline Mg6Cd3Sn at its relaxed geometry, from Alexandria via LeMat-Bulk.

## Properties
theoretical density	4.5	g/cm3
polymorph energy (0 for the lowest one)	0	meV per atom
energy of formation	-0.9	eV per formula unit

abc: 5.2980 8.2724 11.1583
angles: 113.95 90.00 90.00
Fractional positions:
Mg 0.7500 0.9291 0.1278
Mg 0.2500 0.8596 0.2739
Mg 0.2500 0.0709 0.8722
Mg 0.7500 0.1404 0.7261
Mg 0.7500 0.8388 0.8312
Mg 0.7500 0.3391 0.3285
Mg 0.7500 0.5347 0.9305
Mg 0.2500 0.4653 0.0695
Mg 0.2500 0.6609 0.6715
Mg 0.2500 0.1612 0.1688
Mg 0.7500 0.7352 0.5235
Mg 0.2500 0.2648 0.4765
Cd 0.7500 0.6231 0.2241
Cd 0.7500 0.4495 0.6363
Cd 0.2500 0.5505 0.3637
Cd 0.2500 0.7753 0.9723
Cd 0.7500 0.2247 0.0277
Cd 0.2500 0.3769 0.7759
Sn 0.7500 0.0428 0.4237
Sn 0.2500 0.9572 0.5763

| no. | DFT total energy (hartree per atom) |
| --- | --- |
| 1 | -0.1801 |
| 2 | -0.1899 |
| 3 | -0.2216 |
| 4 | -0.1834 |
| 5 | -0.1471 |
| 6 | -0.1451 |
| 7 | -0.1545 |
| 8 | -0.0631 |